A geometry-optimized NdMg2AlAu4 structure. Source: Alexandria, functional GGA-PBE.

a b c (Å): 4.579 4.579 9.229
angles (deg): 75.64 75.64 60.00
Atoms (fractional coordinates):
Au1 0.603 0.603 0.191
Au2 0.132 0.132 0.603
Au3 0.397 0.397 0.809
Au4 0.868 0.868 0.397
Mg1 0.760 0.760 0.721
Mg2 0.240 0.240 0.279
Al1 0.500 0.500 0.500
Nd1 0.000 0.000 0.000

Properties
- Energy of formation from the pure elements: -4.91 eV per formula unit
- M_tot: 0.0000 μB/atom

***

A geometry-optimized Sc2GaTc2 structure. Source: Alexandria, functional GGA-PBE.

a b c (Å): 6.546 6.546 4.290
angles (deg): 90.00 90.00 90.00
Atoms (fractional coordinates):
Sc1 0.826 0.326 0.500
Sc2 0.674 0.826 0.500
Ga1 0.500 0.500 0.000
Ga2 0.000 0.000 0.000
Tc1 0.129 0.371 0.000
Sc3 0.174 0.674 0.500
Tc2 0.629 0.129 0.000
Sc4 0.326 0.174 0.500
Tc3 0.871 0.629 0.000
Tc4 0.371 0.871 0.000

Properties
- Energy of formation from the pure elements: -1.39 eV per formula unit
- M_tot: 0.0000 μB/atom

***

A geometry-optimized KLiCr2 structure. Source: Alexandria, functional GGA-PBE.

a b c (Å): 5.341 5.341 5.341
angles (deg): 60.00 60.00 60.00
Atoms (fractional coordinates):
Li1 0.000 0.000 0.000
Cr1 0.750 0.750 0.750
K1 0.500 0.500 0.500
Cr2 0.250 0.250 0.250

Properties
- Energy of formation from the pure elements: 4.90 eV per formula unit
- Energy above the most stable polymorph in this dataset: 609 meV per atom
- M_tot: 2.4390 μB/atom

***

A geometry-optimized InGePt structure. Source: Alexandria, functional GGA-PBE.

a b c (Å): 4.445 4.445 6.254
angles (deg): 90.00 90.00 90.00
Atoms (fractional coordinates):
In1 0.500 0.500 0.000
In2 0.000 0.000 0.000
Ge1 0.000 0.000 0.500
Ge2 0.500 0.500 0.500
Pt1 0.500 0.000 0.279
Pt2 0.000 0.500 0.721

Properties
- Energy of formation from the pure elements: -1.27 eV per formula unit
- M_tot: 0.0000 μB/atom